# LiLaPmPt (PBE-GGA, relaxed)
data_LiLaPmPt
_cell_length_a 5.181
_cell_length_b 5.181
_cell_length_c 5.181
_cell_angle_alpha 60.00
_cell_angle_beta 60.00
_cell_angle_gamma 60.00
_space_group_name_H-M_alt 'P 1'
_space_group_IT_number 1
_space_group_name_Hall 'P 1'
loop_
_atom_site_label
_atom_site_type_symbol
_atom_site_fract_x
_atom_site_fract_y
_atom_site_fract_z
La1 La 0.500 0.500 0.500
Li1 Li 0.250 0.250 0.250
Pt1 Pt 0.750 0.750 0.750
Pm1 Pm 0.000 0.000 0.000
# Energy relative to the elements: -0.53 eV/atom
# Space-group type: F-43m (216)



# NdErHgOs (PBE-GGA, relaxed)
data_NdErHgOs
_cell_length_a 5.080
_cell_length_b 5.080
_cell_length_c 5.080
_cell_angle_alpha 60.00
_cell_angle_beta 60.00
_cell_angle_gamma 60.00
_space_group_name_H-M_alt 'P 1'
_space_group_IT_number 1
_space_group_name_Hall 'P 1'
loop_
_atom_site_label
_atom_site_type_symbol
_atom_site_fract_x
_atom_site_fract_y
_atom_site_fract_z
Nd1 Nd 0.000 0.000 0.000
Os1 Os 0.250 0.250 0.250
Hg1 Hg 0.750 0.750 0.750
Er1 Er 0.500 0.500 0.500
# Energy relative to the elements: -0.19 eV/atom
# Space-group type: F-43m (216)



# ErNi2Ir (PBE-GGA, relaxed)
data_ErNi2Ir
_cell_length_a 3.760
_cell_length_b 3.981
_cell_length_c 3.981
_cell_angle_alpha 90.00
_cell_angle_beta 90.00
_cell_angle_gamma 90.00
_space_group_name_H-M_alt 'P 1'
_space_group_IT_number 1
_space_group_name_Hall 'P 1'
loop_
_atom_site_label
_atom_site_type_symbol
_atom_site_fract_x
_atom_site_fract_y
_atom_site_fract_z
Ni1 Ni 0.000 0.000 0.500
Ni2 Ni 0.000 0.500 0.000
Ir1 Ir 0.500 0.500 0.500
Er1 Er 0.500 0.000 0.000
# Energy relative to the elements: -0.35 eV/atom
# Space-group type: P4/mmm (123)



# CaNiP2Cl (PBE-GGA, relaxed)
data_CaNiP2Cl
_cell_length_a 4.219
_cell_length_b 4.219
_cell_length_c 6.085
_cell_angle_alpha 90.00
_cell_angle_beta 90.00
_cell_angle_gamma 90.00
_space_group_name_H-M_alt 'P 1'
_space_group_IT_number 1
_space_group_name_Hall 'P 1'
loop_
_atom_site_label
_atom_site_type_symbol
_atom_site_fract_x
_atom_site_fract_y
_atom_site_fract_z
Ni1 Ni 0.000 0.000 0.000
Ca1 Ca 0.500 0.500 0.500
P1 P 0.000 0.500 0.000
P2 P 0.500 0.000 0.000
Cl1 Cl 0.000 0.000 0.500
# Uncorrected formation energy: -0.447 eV/atom
# Space-group type: P4/mmm (123)



# HfOsCl2 (PBE-GGA, relaxed)
data_HfOsCl2
_cell_length_a 8.585
_cell_length_b 8.585
_cell_length_c 8.585
_cell_angle_alpha 20.65
_cell_angle_beta 20.65
_cell_angle_gamma 20.65
_space_group_name_H-M_alt 'P 1'
_space_group_IT_number 1
_space_group_name_Hall 'P 1'
loop_
_atom_site_label
_atom_site_type_symbol
_atom_site_fract_x
_atom_site_fract_y
_atom_site_fract_z
Hf1 Hf 0.500 0.500 0.500
Os1 Os 0.000 0.000 0.000
Cl1 Cl 0.908 0.908 0.908
Cl2 Cl 0.092 0.092 0.092
# Uncorrected formation energy: -0.011 eV/atom
# Space-group type: R-3m (166)



# Co4NiAu (PBE-GGA, relaxed)
data_Co4NiAu
_cell_length_a 4.737
_cell_length_b 4.737
_cell_length_c 4.737
_cell_angle_alpha 60.00
_cell_angle_beta 60.00
_cell_angle_gamma 60.00
_space_group_name_H-M_alt 'P 1'
_space_group_IT_number 1
_space_group_name_Hall 'P 1'
loop_
_atom_site_label
_atom_site_type_symbol
_atom_site_fract_x
_atom_site_fract_y
_atom_site_fract_z
Co1 Co 0.874 0.375 0.375
Co2 Co 0.375 0.375 0.874
Co3 Co 0.375 0.874 0.375
Co4 Co 0.375 0.375 0.375
Ni1 Ni 0.750 0.750 0.750
Au1 Au 0.000 0.000 0.000
# Energy relative to the elements: 0.22 eV/atom
# Space-group type: F-43m (216)



# OsRhCl (PBE-GGA, relaxed)
data_OsRhCl
_cell_length_a 7.091
_cell_length_b 6.771
_cell_length_c 2.880
_cell_angle_alpha 84.32
_cell_angle_beta 71.84
_cell_angle_gamma 23.84
_space_group_name_H-M_alt 'P 1'
_space_group_IT_number 1
_space_group_name_Hall 'P 1'
loop_
_atom_site_label
_atom_site_type_symbol
_atom_site_fract_x
_atom_site_fract_y
_atom_site_fract_z
Cl1 Cl 0.992 0.992 0.008
Os1 Os 0.336 0.336 0.664
Rh1 Rh 0.672 0.672 0.328
# Uncorrected formation energy: 0.671 eV/atom
# Space-group type: Fmm2 (42)



# TcO3F2 (PBE-GGA, relaxed)
data_TcO3F2
_cell_length_a 5.895
_cell_length_b 5.748
_cell_length_c 7.257
_cell_angle_alpha 78.57
_cell_angle_beta 90.01
_cell_angle_gamma 59.16
_space_group_name_H-M_alt 'P 1'
_space_group_IT_number 1
_space_group_name_Hall 'P 1'
loop_
_atom_site_label
_atom_site_type_symbol
_atom_site_fract_x
_atom_site_fract_y
_atom_site_fract_z
Tc1 Tc 0.165 0.000 0.250
Tc2 Tc 0.835 0.000 0.750
O1 O 0.151 0.000 0.750
O2 O 0.849 0.000 0.250
O3 O 0.555 0.237 0.827
O4 O 0.792 0.763 0.673
O5 O 0.208 0.237 0.327
O6 O 0.445 0.763 0.173
F1 F 0.745 0.235 0.496
F2 F 0.020 0.235 0.996
F3 F 0.980 0.765 0.004
F4 F 0.255 0.765 0.504
# Uncorrected formation energy: -1.144 eV/atom
# Space-group type: C2/c (15)



| no. | calculated volume (Å³ per atom) |
| --- | --- |
| 1 | 24.58 |
| 2 | 23.17 |
| 3 | 14.90 |
| 4 | 21.66 |
| 5 | 17.23 |
| 6 | 12.53 |
| 7 | 15.49 |
| 8 | 17.12 |